Crystalline K5Nd3Cl12 at its relaxed geometry, computed with GGA-PBE.

Unit cell a=15.1747 b=15.1747 c=15.1747 alpha=109.47 beta=109.47 gamma=109.47
With the nearest neighbours (Å) after each atom.
Positions (direct):
Cl (0.1263, 0.3866, 0.0567)  1 Nd 2.83, 2 K 3.00-3.08
Cl (0.8299, 0.9433, 0.0696)  1 Nd 2.83, 2 K 3.00-3.08
Cl (0.6134, 0.8737, 0.4433)  1 Nd 2.83, 2 K 3.00-3.08
Cl (0.1134, 0.1701, 0.2398)  1 Nd 2.83, 2 K 3.00-3.08
Cl (0.6263, 0.5567, 0.8866)  1 Nd 2.83, 2 K 3.00-3.08
Cl (0.9433, 0.8299, 0.5696)  1 Nd 2.83, 2 K 3.00-3.08
Cl (0.6701, 0.4304, 0.5567)  1 Nd 2.83, 2 K 3.00-3.08
Cl (0.0696, 0.6263, 0.7398)  1 Nd 2.83, 2 K 3.00-3.08
Cl (0.4304, 0.7602, 0.8737)  1 Nd 2.83, 2 K 3.00-3.08
Cl (0.5567, 0.9304, 0.6701)  1 Nd 2.83, 2 K 3.00-3.08
Cl (0.8866, 0.8299, 0.7602)  1 Nd 2.83, 2 K 3.00-3.08
Cl (0.5696, 0.2398, 0.1263)  1 Nd 2.83, 2 K 3.00-3.08
Cl (0.1701, 0.0567, 0.9304)  1 Nd 2.83, 2 K 3.00-3.08
Cl (0.8737, 0.2602, 0.4304)  1 Nd 2.83, 2 K 3.00-3.08
Cl (0.9304, 0.3737, 0.2602)  1 Nd 2.83, 2 K 3.00-3.08
Cl (0.8866, 0.0567, 0.6263)  1 Nd 2.83, 2 K 3.00-3.08
Cl (0.5696, 0.3299, 0.9433)  1 Nd 2.83, 2 K 3.00-3.08
Cl (0.4433, 0.3737, 0.6134)  1 Nd 2.83, 2 K 3.00-3.08
Cl (0.0567, 0.1701, 0.4304)  1 Nd 2.83, 2 K 3.00-3.08
Cl (0.2398, 0.5696, 0.6263)  1 Nd 2.83, 2 K 3.00-3.08
Cl (0.3299, 0.5696, 0.4433)  1 Nd 2.83, 2 K 3.00-3.08
Cl (0.5567, 0.6263, 0.3866)  1 Nd 2.83, 2 K 3.00-3.08
Cl (0.1263, 0.7398, 0.5696)  1 Nd 2.83, 2 K 3.00-3.08
Cl (0.3866, 0.1263, 0.5567)  1 Nd 2.83, 2 K 3.00-3.08
Cl (0.6701, 0.2398, 0.6134)  1 Nd 2.83, 2 K 3.00-3.08
Cl (0.4304, 0.6701, 0.0567)  1 Nd 2.83, 2 K 3.00-3.08
Cl (0.8737, 0.6134, 0.9433)  1 Nd 2.83, 2 K 3.00-3.08
Cl (0.2398, 0.6701, 0.1134)  1 Nd 2.83, 2 K 3.00-3.08
Cl (0.1134, 0.9433, 0.3737)  1 Nd 2.83, 2 K 3.00-3.08
Cl (0.0567, 0.8866, 0.1263)  1 Nd 2.83, 2 K 3.00-3.08
Cl (0.7398, 0.1263, 0.0696)  1 Nd 2.83, 2 K 3.00-3.08
Cl (0.9433, 0.1134, 0.8737)  1 Nd 2.83, 2 K 3.00-3.08
Cl (0.4433, 0.0696, 0.3299)  1 Nd 2.83, 2 K 3.00-3.08
Cl (0.8299, 0.8866, 0.2602)  1 Nd 2.83, 2 K 3.00-3.08
Cl (0.7398, 0.6134, 0.1701)  1 Nd 2.83, 2 K 3.00-3.08
Cl (0.7602, 0.4304, 0.3737)  1 Nd 2.83, 2 K 3.00-3.08
Cl (0.3299, 0.7602, 0.3866)  1 Nd 2.83, 2 K 3.00-3.08
Cl (0.1701, 0.1134, 0.7398)  1 Nd 2.83, 2 K 3.00-3.08
Cl (0.3737, 0.4433, 0.1134)  1 Nd 2.83, 2 K 3.00-3.08
Cl (0.6263, 0.0696, 0.2398)  1 Nd 2.83, 2 K 3.00-3.08
Cl (0.3737, 0.9304, 0.7602)  1 Nd 2.83, 2 K 3.00-3.08
Cl (0.2602, 0.3866, 0.8299)  1 Nd 2.83, 2 K 3.00-3.08
Cl (0.7602, 0.3299, 0.8866)  1 Nd 2.83, 2 K 3.00-3.08
Cl (0.3866, 0.2602, 0.3299)  1 Nd 2.83, 2 K 3.00-3.08
Cl (0.0696, 0.4433, 0.8299)  1 Nd 2.83, 2 K 3.00-3.08
Cl (0.2602, 0.8737, 0.9304)  1 Nd 2.83, 2 K 3.00-3.08
Cl (0.6134, 0.7398, 0.6701)  1 Nd 2.83, 2 K 3.00-3.08
Cl (0.9304, 0.5567, 0.1701)  1 Nd 2.83, 2 K 3.00-3.08
Nd (0.2500, 0.6250, 0.8750)  4 Cl 2.83
Nd (0.1250, 0.2500, 0.8750)  4 Cl 2.83
Nd (0.3750, 0.6250, 0.2500)  4 Cl 2.83
Nd (0.6250, 0.3750, 0.7500)  4 Cl 2.83
Nd (0.2500, 0.1250, 0.3750)  4 Cl 2.83
Nd (0.7500, 0.8750, 0.6250)  4 Cl 2.83
Nd (0.7500, 0.3750, 0.1250)  4 Cl 2.83
Nd (0.6250, 0.2500, 0.3750)  4 Cl 2.83
Nd (0.1250, 0.8750, 0.7500)  4 Cl 2.83
Nd (0.3750, 0.7500, 0.6250)  4 Cl 2.83
Nd (0.8750, 0.1250, 0.2500)  4 Cl 2.83
Nd (0.8750, 0.7500, 0.1250)  4 Cl 2.83
K (0.1250, 0.7500, 0.3750)  4 Cl 3.00
K (0.8750, 0.6250, 0.7500)  4 Cl 3.00
K (0.1250, 0.3750, 0.2500)  4 Cl 3.00
K (0.5000, 0.5000, 0.5000)  6 Cl 3.08
K (0.2500, 0.3750, 0.6250)  4 Cl 3.00
K (0.7500, 0.1250, 0.8750)  4 Cl 3.00
K (0.7500, 0.6250, 0.3750)  4 Cl 3.00
K (0.0000, 0.0000, 0.0000)  6 Cl 3.08
K (0.6250, 0.7500, 0.8750)  4 Cl 3.00
K (0.0000, 0.5000, 0.5000)  6 Cl 3.08
K (0.2500, 0.8750, 0.1250)  4 Cl 3.00
K (0.5000, 0.5000, 0.0000)  6 Cl 3.08
K (0.3750, 0.1250, 0.7500)  4 Cl 3.00
K (0.0000, 0.0000, 0.5000)  6 Cl 3.08
K (0.5000, 0.0000, 0.5000)  6 Cl 3.08
K (0.8750, 0.2500, 0.6250)  4 Cl 3.00
K (0.6250, 0.8750, 0.2500)  4 Cl 3.00
K (0.5000, 0.0000, 0.0000)  6 Cl 3.08
K (0.0000, 0.5000, 0.0000)  6 Cl 3.08
K (0.3750, 0.2500, 0.1250)  4 Cl 3.00

Raw formation energy   -1.8292 eV/atom
SG   Ia-3d, No. 230



Crystalline KNd2Cl8 at its relaxed geometry, computed with GGA-PBE.

Unit cell a=8.0212 b=7.2538 c=7.2538 alpha=72.66 beta=79.30 gamma=79.30
With the nearest neighbours (Å) after each atom.
Positions (direct):
Cl (0.7913, 0.8012, 0.8012)  1 Nd 2.74
Cl (0.7205, 0.4436, 0.4436)  2 Nd 2.78
Cl (0.2087, 0.1988, 0.1988)  1 Nd 2.74
Cl (0.6811, 0.3513, 0.9609)  2 Nd 2.84-2.86
Cl (0.3189, 0.0391, 0.6487)  2 Nd 2.84-2.86
Cl (0.2795, 0.5564, 0.5564)  2 Nd 2.78
Cl (0.6811, 0.9609, 0.3513)  2 Nd 2.84-2.86
Cl (0.3189, 0.6487, 0.0391)  2 Nd 2.84-2.86
Nd (0.5402, 0.6772, 0.6772)  7 Cl 2.74-2.86
Nd (0.4598, 0.3228, 0.3228)  7 Cl 2.74-2.86
K (0.0000, 0.0000, 0.0000)  6 Cl 3.16-3.25

ΔE to the lowest computed polymorph   67 meV/atom
Raw formation energy   -1.9368 eV/atom
SG   C2/m, No. 12



Crystalline KNdCl3 at its relaxed geometry, computed with GGA-PBE.

Unit cell a=5.5445 b=5.5445 c=5.5445 alpha=90.00 beta=90.00 gamma=90.00
With the nearest neighbours (Å) after each atom.
Positions (direct):
Cl (0.0000, 0.0000, 0.5000)  2 Nd 2.77
Cl (0.5000, 0.0000, 0.0000)  2 Nd 2.77
Cl (0.0000, 0.5000, 0.0000)  2 Nd 2.77
Nd (0.0000, 0.0000, 0.0000)  6 Cl 2.77
K (0.5000, 0.5000, 0.5000)  12 Cl 3.92

Raw formation energy   -1.8406 eV/atom
SG   Pm-3m, No. 221



Crystalline KNd2Cl8 at its relaxed geometry, computed with GGA-PBE.

Unit cell a=5.3465 b=8.1469 c=8.1469 alpha=115.55 beta=90.03 gamma=90.03
With the nearest neighbours (Å) after each atom.
Positions (direct):
Cl (0.9992, 0.9415, 0.6735)  2 Nd 2.81-2.86
Cl (0.0008, 0.0585, 0.3265)  2 Nd 2.81-2.86
Cl (0.7462, 0.4997, 0.4997)  2 Cl 2.63-2.71
Cl (0.0008, 0.3265, 0.0585)  2 Nd 2.81-2.86
Cl (0.5000, 0.7451, 0.2549)  2 Nd 2.75
Cl (0.2538, 0.5003, 0.5003)  2 Cl 2.63-2.71
Cl (0.5000, 0.2549, 0.7451)  2 Nd 2.75
Cl (0.9992, 0.6735, 0.9415)  2 Nd 2.81-2.86
K (0.5000, 0.0000, 0.0000)  10 Cl 3.51-3.66
Nd (0.0000, 0.6975, 0.3025)  8 Cl 2.75-3.04
Nd (0.0000, 0.3025, 0.6975)  8 Cl 2.75-3.04

ΔE to the lowest computed polymorph   0 meV/atom
Raw formation energy   -2.0040 eV/atom
SG   Cmmm, No. 65